[1]
Hf3Zr3In2: relaxed, PBE.

Calculated values
The formation enthalpy at 0 K comes out at -0.19 eV per atom.

Cell and atoms, written as POSCAR:
```
Hf3Zr3In2
1.0
-0.982 -3.600 2.455
-1.836 -1.930 -3.566
7.841 -3.573 -2.103
Hf Zr In
3 3 2
Direct
0.500 0.000 0.000
0.500 0.500 0.752
0.500 0.500 0.248
0.500 0.000 0.500
0.000 0.500 0.000
0.000 0.500 0.500
0.000 0.000 0.249
0.000 0.000 0.751
```


[2]
HfZr2In: relaxed, PBE.

Calculated values
The formation enthalpy at 0 K comes out at -0.09 eV per atom.

Cell and atoms, written as POSCAR:
```
HfZr2In
1.0
3.248 0.000 0.000
1.624 2.813 0.000
1.624 0.938 10.138
Zr Hf In
2 1 1
Direct
0.249 0.249 0.253
0.085 0.085 0.746
0.500 0.500 0.500
0.667 0.667 0.000
```


[3]
Hf4Zr9In11: relaxed, PBE.

Calculated values
The formation enthalpy at 0 K comes out at -0.16 eV per atom.

Cell and atoms, written as POSCAR:
```
Hf4Zr9In11
1.0
3.134 0.000 0.000
0.000 12.535 -5.384
0.000 -0.025 13.642
Zr Hf In
9 4 11
Direct
0.500 0.500 0.500
0.500 0.991 0.798
0.500 0.798 0.991
0.500 0.009 0.202
0.500 0.202 0.009
0.500 0.389 0.825
0.500 0.611 0.175
0.500 0.825 0.389
0.500 0.175 0.611
0.500 0.753 0.592
0.500 0.592 0.753
0.500 0.408 0.247
0.500 0.247 0.408
0.000 0.206 0.206
0.000 0.794 0.794
0.000 0.959 0.593
0.000 0.000 0.000
0.000 0.811 0.189
0.000 0.593 0.959
0.000 0.407 0.041
0.000 0.189 0.811
0.000 0.041 0.407
0.000 0.381 0.619
0.000 0.619 0.381
```


[4]
HfZr3In: relaxed, PBE.

Calculated values
The formation enthalpy at 0 K comes out at 0.93 eV per atom.

Cell and atoms, written as POSCAR:
```
HfZr3In
1.0
5.162 0.000 0.000
0.000 5.162 0.000
0.000 0.000 5.162
In Zr Hf
1 3 1
Direct
0.500 0.500 0.500
0.000 0.500 0.000
0.500 0.000 0.000
0.000 0.000 0.500
0.000 0.000 0.000
```


[5]
HfZr3In: relaxed, PBE.

Calculated values
The formation enthalpy at 0 K comes out at 0.09 eV per atom.

Cell and atoms, written as POSCAR:
```
HfZr3In
1.0
7.690 -0.241 -0.180
0.224 7.790 -0.866
0.224 1.370 7.717
In Hf Zr
4 4 12
Direct
0.250 0.813 0.187
0.750 0.687 0.313
0.750 0.187 0.813
0.250 0.313 0.687
0.074 0.369 0.131
0.574 0.131 0.369
0.426 0.869 0.631
0.926 0.631 0.869
0.608 0.833 0.972
0.392 0.472 0.333
0.608 0.528 0.667
0.392 0.167 0.028
0.318 0.586 0.914
0.892 0.028 0.167
0.682 0.414 0.086
0.818 0.914 0.586
0.108 0.667 0.528
0.182 0.086 0.414
0.892 0.333 0.472
0.108 0.972 0.833
```


[6]
Hf2ZrIn2: relaxed, PBE.

Calculated values
The formation enthalpy at 0 K comes out at -0.08 eV per atom.

Cell and atoms, written as POSCAR:
```
Hf2ZrIn2
1.0
3.131 0.000 0.000
0.000 3.050 0.578
0.000 -0.630 11.663
In Zr Hf
2 1 2
Direct
0.500 0.597 0.805
0.500 0.403 0.195
0.000 0.000 0.000
0.000 0.806 0.388
0.000 0.194 0.612
```


[7]
Hf6ZrIn2: relaxed, PBE.

Calculated values
The formation enthalpy at 0 K comes out at 0.02 eV per atom.

Cell and atoms, written as POSCAR:
```
Hf6ZrIn2
1.0
3.189 0.013 0.374
1.036 7.124 3.725
-0.290 0.010 8.880
Hf Zr In
6 1 2
Direct
0.662 0.664 0.000
0.338 0.336 0.000
0.163 0.502 0.323
0.163 0.825 0.677
0.837 0.175 0.323
0.837 0.498 0.677
0.000 0.000 0.000
0.500 0.829 0.342
0.500 0.171 0.658
```


[8]
Hf3Zr2In4: relaxed, PBE.

Calculated values
The formation enthalpy at 0 K comes out at -0.10 eV per atom.

Cell and atoms, written as POSCAR:
```
Hf3Zr2In4
1.0
-2.416 -1.206 -1.612
-2.244 -5.443 4.308
-5.119 5.119 5.917
In Zr Hf
4 2 3
Direct
0.624 0.667 0.883
0.004 0.995 0.338
0.376 0.333 0.117
0.996 0.005 0.662
0.305 0.322 0.782
0.695 0.678 0.218
0.324 0.343 0.447
0.676 0.657 0.553
0.000 0.000 0.000
```


In the order shown, the computed total moment values come out to 0.00, 0.00, 0.00, 0.00, 0.00, 0.00, 0.00, 0.00 μB/atom.